one.
Here is a geometry-optimized SrAlC3 structure from the Alexandria database. Energies are from PBE.

- Space-group type: Pm-3m, No. 221
- V: 19.9 A^3/atom

abc: 4.633 4.633 4.633
angles: 90.00 90.00 90.00
Each line ends with the local moment (μB).
Sites, in units of the cell vectors:
1 Sr 0.000 0.000 0.000  0.04
2 C 0.000 0.500 0.000  0.22
3 C 0.000 0.000 0.500  0.16
4 C 0.500 0.000 0.000  0.16
5 Al 0.500 0.500 0.500  0.01



two.
Here is a geometry-optimized SrAlC3 structure from the Alexandria database. Energies are from PBE.

- Space-group type: Pm-3m, No. 221
- V: 13.5 A^3/atom

abc: 4.076 4.076 4.076
angles: 90.00 90.00 90.00
Sites, in units of the cell vectors:
1 Sr 0.500 0.500 0.500
2 C 0.000 0.500 0.000
3 C 0.000 0.000 0.500
4 C 0.500 0.000 0.000
5 Al 0.000 0.000 0.000



Most stable: two



one.
Here is a geometry-optimized AlTc3C structure from the Alexandria database. Energies are from PBE.

- Space-group type: Cmcm, No. 63
- V: 13.7 A^3/atom

abc: 5.626 7.082 7.082
angles: 75.70 90.00 90.00
Sites, in units of the cell vectors:
1 Al 0.250 0.990 0.010
2 Al 0.750 0.010 0.990
3 Al 0.250 0.674 0.326
4 Al 0.750 0.326 0.674
5 Tc 0.483 0.322 0.980
6 Tc 0.017 0.020 0.678
7 Tc 0.517 0.678 0.020
8 Tc 0.983 0.980 0.322
9 Tc 0.983 0.678 0.020
10 Tc 0.517 0.980 0.322
11 Tc 0.017 0.322 0.980
12 Tc 0.483 0.020 0.678
13 Tc 0.500 0.358 0.358
14 Tc 0.000 0.642 0.642
15 Tc 0.500 0.642 0.642
16 Tc 0.000 0.358 0.358
17 C 0.750 0.432 0.137
18 C 0.750 0.863 0.568
19 C 0.250 0.568 0.863
20 C 0.250 0.137 0.432



two.
Here is a geometry-optimized AlTc3C structure from the Alexandria database. Energies are from PBE.

- Space-group type: Pm-3m, No. 221
- V: 13.4 A^3/atom

abc: 4.066 4.066 4.066
angles: 90.00 90.00 90.00
Sites, in units of the cell vectors:
1 C 0.000 0.000 0.000
2 Tc 0.000 0.500 0.000
3 Tc 0.000 0.000 0.500
4 Tc 0.500 0.000 0.000
5 Al 0.500 0.500 0.500



Most stable: two